Compound: GaBi2Ir2
Source: the Alexandria database
Functional: PBE-GGA
Structure: optimized geometry

polymorph energy (0 for the lowest one) = 0.0 meV per atom
DOS(E_F) = 0.462 states/eV per atom
total energy = -27.1 eV/cell
E_form = 0.29 eV per atom

a = 4.1367 Å, b = 4.1367 Å, c = 7.8099 Å
α = 74.64°, β = 74.64°, γ = 90.00°
Fractional positions:
Ir: 0.2500 0.7500 0.5000
Bi: 0.6281 0.6281 0.7438
Bi: 0.3719 0.3719 0.2562
Ga: 0.0000 0.0000 0.0000
Ir: 0.7500 0.2500 0.5000